Model w:
Entry from Alexandria: crystalline InSiRh3 at its relaxed geometry (PBE-GGA).

As for the density: 8.976 g/cm3. The value obtained for the density of states at the Fermi level is 3.539 states/eV/f.u. As for the symmetry: No. 63. As for the total magnetization: 0.000 μB/f.u.

Cell lengths 6.253, 7.428, 7.428 Å; angles 75.60, 90.00, 90.00 degrees
Fractional coordinates of all 20 atoms:
In 0.250 0.003 0.997
In 0.750 0.997 0.003
In 0.250 0.662 0.338
In 0.750 0.338 0.662
Si 0.750 0.434 0.129
Si 0.750 0.871 0.566
Si 0.250 0.566 0.871
Si 0.250 0.129 0.434
Rh 0.492 0.313 0.965
Rh 0.008 0.035 0.687
Rh 0.508 0.687 0.035
Rh 0.992 0.965 0.313
Rh 0.992 0.687 0.035
Rh 0.508 0.965 0.313
Rh 0.008 0.313 0.965
Rh 0.492 0.035 0.687
Rh 0.500 0.366 0.366
Rh 0.000 0.634 0.634
Rh 0.500 0.634 0.634
Rh 0.000 0.366 0.366

Model x:
Entry from Alexandria: crystalline InSiRh3 at its relaxed geometry (PBE-GGA).

As for the density: 8.691 g/cm3. The value obtained for the density of states at the Fermi level is 0.390 states/eV/f.u. As for the symmetry: No. 221. As for the total magnetization: 0.000 μB/f.u.

Cell lengths 4.419, 4.419, 4.419 Å; angles 90.00, 90.00, 90.00 degrees
Fractional coordinates of all 5 atoms:
Si 0.000 0.000 0.000
Rh 0.000 0.500 0.000
Rh 0.000 0.000 0.500
Rh 0.500 0.000 0.000
In 0.500 0.500 0.500

Model y:
Entry from Alexandria: crystalline InSiRh3 at its relaxed geometry (PBE-GGA).

As for the density: 6.728 g/cm3. The value obtained for the density of states at the Fermi level is 1.572 states/eV/f.u. As for the symmetry: No. 221. As for the total magnetization: 0.000 μB/f.u.

Cell lengths 4.813, 4.813, 4.813 Å; angles 90.00, 90.00, 90.00 degrees
Fractional coordinates of all 5 atoms:
Si 0.500 0.500 0.500
Rh 0.000 0.500 0.000
Rh 0.000 0.000 0.500
Rh 0.500 0.000 0.000
In 0.000 0.000 0.000

Which is most stable? The ranking, best first, is model w, model x, model y.

Model w:
Entry from Alexandria: crystalline InSiRh4 at its relaxed geometry (PBE-GGA).

As for the density: 9.346 g/cm3. The value obtained for the density of states at the Fermi level is 9.023 states/eV/f.u. As for the symmetry: No. 216. As for the total magnetization: 0.000 μB/f.u.

Cell lengths 5.184, 5.184, 5.184 Å; angles 60.00, 60.00, 60.00 degrees
Fractional coordinates of all 6 atoms:
In 0.000 0.000 0.000
Si 0.750 0.750 0.750
Rh 0.874 0.375 0.375
Rh 0.375 0.375 0.874
Rh 0.375 0.874 0.375
Rh 0.375 0.375 0.375

Model x:
Entry from Alexandria: crystalline InSiRh4 at its relaxed geometry (PBE-GGA).

As for the density: 9.057 g/cm3. The value obtained for the density of states at the Fermi level is 8.438 states/eV/f.u. As for the symmetry: No. 123. As for the total magnetization: 0.000 μB/f.u.

Cell lengths 4.011, 4.011, 6.319 Å; angles 89.96, 89.97, 90.00 degrees
Fractional coordinates of all 6 atoms:
In 0.501 0.497 0.998
Si 0.001 0.997 0.498
Rh 0.501 0.997 0.283
Rh 0.501 0.998 0.714
Rh 0.001 0.497 0.714
Rh 0.001 0.497 0.283

Which is most stable? The ranking, best first, is model x, model w.

Model w:
Entry from Alexandria: crystalline Sm4InRh at its relaxed geometry (PBE-GGA).

As for the density: 8.048 g/cm3. The value obtained for the density of states at the Fermi level is 4.514 states/eV/f.u. As for the symmetry: No. 216. As for the total magnetization: 0.000 μB/f.u.

Cell lengths 9.851, 9.851, 9.851 Å; angles 60.00, 60.00, 60.00 degrees
Fractional coordinates of all 24 atoms:
Sm 0.401 0.401 0.401
Sm 0.798 0.401 0.401
Sm 0.401 0.798 0.401
Sm 0.401 0.401 0.798
Sm 0.559 0.559 0.941
Sm 0.941 0.941 0.559
Sm 0.559 0.941 0.559
Sm 0.941 0.559 0.941
Sm 0.941 0.559 0.559
Sm 0.559 0.941 0.941
Sm 0.188 0.188 0.812
Sm 0.812 0.812 0.188
Sm 0.188 0.812 0.188
Sm 0.812 0.188 0.812
Sm 0.812 0.188 0.188
Sm 0.188 0.812 0.812
In 0.168 0.168 0.168
In 0.495 0.168 0.168
In 0.168 0.495 0.168
In 0.168 0.168 0.495
Rh 0.608 0.608 0.608
Rh 0.176 0.608 0.608
Rh 0.608 0.176 0.608
Rh 0.608 0.608 0.176

Model x:
Entry from Alexandria: crystalline Sm4InRh at its relaxed geometry (PBE-GGA).

As for the density: 7.816 g/cm3. The value obtained for the density of states at the Fermi level is 6.727 states/eV/f.u. As for the symmetry: No. 15. As for the total magnetization: 0.000 μB/f.u.

Cell lengths 6.079, 8.614, 8.275 Å; angles 114.30, 102.29, 107.26 degrees
Fractional coordinates of all 12 atoms:
Sm 0.053 0.206 0.857
Sm 0.777 0.706 0.640
Sm 0.304 0.651 0.857
Sm 0.363 0.934 0.640
Sm 0.637 0.066 0.360
Sm 0.696 0.349 0.143
Sm 0.223 0.294 0.360
Sm 0.947 0.794 0.143
In 0.373 0.623 0.246
In 0.627 0.377 0.754
Rh 0.250 0.000 0.000
Rh 0.750 0.000 0.000

Which is most stable? The ranking, best first, is model w, model x.